1.
# PBE-GGA NdUN2, relaxed
data_NdUN2
_symmetry_space_group_name_H-M 'R 3 m'
_symmetry_Int_Tables_number 160
_symmetry_space_group_name_Hall 'R 3 -2"'
_cell_length_a 3.4802
_cell_length_b 3.4802
_cell_length_c 18.2515
_cell_angle_alpha 90.00
_cell_angle_beta 90.00
_cell_angle_gamma 120.00
loop_
_atom_site_label
_atom_site_fract_x
_atom_site_fract_y
_atom_site_fract_z
_atom_site_occupancy
Nd1 0.0000 0.0000 0.0000 1
U1 0.0000 0.0000 0.1769 1
N1 0.0000 0.0000 0.5801 1
N2 0.0000 0.0000 0.7746 1
# V: 16.0 A^3/atom
# Total magnetization: 1.2 μB/f.u.
# E: -9.35 eV per atom


2.
# PBE-GGA K3LaBi, relaxed
data_K3LaBi
_symmetry_space_group_name_H-M 'P m -3 m'
_symmetry_Int_Tables_number 221
_symmetry_space_group_name_Hall '-P 4 2 3'
_cell_length_a 6.212
_cell_length_b 6.212
_cell_length_c 6.212
_cell_angle_alpha 90.00
_cell_angle_beta 90.00
_cell_angle_gamma 90.00
loop_
_atom_site_label
_atom_site_fract_x
_atom_site_fract_y
_atom_site_fract_z
_atom_site_occupancy
K1 0.000 0.000 0.500 1
La1 0.000 0.000 0.000 1
Bi1 0.500 0.500 0.500 1
# V: 47.9 A^3/atom
# Total magnetization: 0.0 μB/f.u.
# Energy of formation: 1.049 eV/atom
# E: -1.37 eV per atom


Q: Among the records above, which one has the lowest total magnetization?
A: K3LaBi